## Ac3Be2Pd8 (PBE)

Data for a geometry-optimized Ac3Be2Pd8 structure.

```
Ac3Be2Pd8
1.0
-4.472 4.181 1.808
-5.277 0.748 -3.513
-6.827 -3.989 3.606
Pd Be Ac
8 2 3
Direct
0.838 0.264 0.633
0.162 0.736 0.367
0.736 0.736 0.367
0.364 0.364 0.909
0.636 0.636 0.091
0.264 0.264 0.633
0.736 0.162 0.367
0.264 0.838 0.633
0.544 0.544 0.367
0.456 0.456 0.633
0.240 0.240 0.279
0.000 0.000 0.000
0.760 0.760 0.721
```

Properties
As for the formation energy: -11.406 kcal/mol of atoms. For the density, the calculation gives 9.27 g/cm3. Its symmetry is R-3m (166). The density of states at the Fermi level comes out at 7.61 states/eV/f.u. The value obtained for the magnetization is 0.00 μB per atom.

=====

## Tb2PmEr2 (PBE)

Data for a geometry-optimized Tb2PmEr2 structure.

```
Tb2PmEr2
1.0
6.364 -0.866 0.000
-3.308 5.505 0.000
-1.528 -2.320 11.278
Tb Er Pm
4 4 2
Direct
0.418 0.582 0.500
0.082 0.918 0.500
0.832 0.168 0.000
0.168 0.832 0.000
0.125 0.375 0.750
0.625 0.875 0.250
0.625 0.375 0.250
0.625 0.375 0.750
0.500 0.500 0.000
0.750 0.250 0.500
```

Properties
As for the formation energy: 11.705 kcal/mol of atoms. For the density, the calculation gives 7.30 g/cm3. Its symmetry is Fddd (70). As for the distance to the lowest polymorph of the same formula: 0.424 eV per atom. The density of states at the Fermi level comes out at 8.30 states/eV/f.u. The value obtained for the magnetization is 0.00 μB per atom.

=====

## Cd3Ga2Ag7 (PBE)

Data for a geometry-optimized Cd3Ga2Ag7 structure.

```
Cd3Ga2Ag7
1.0
5.018 0.971 -0.996
0.793 5.117 -0.560
-1.977 -1.775 9.435
Ag Ga Cd
7 2 3
Direct
0.609 0.064 0.170
0.000 0.000 0.000
0.894 0.438 0.831
0.391 0.936 0.830
0.724 0.224 0.501
0.106 0.562 0.169
0.276 0.776 0.499
0.817 0.868 0.688
0.183 0.132 0.312
0.715 0.634 0.350
0.285 0.366 0.650
0.500 0.500 0.000
```

Properties
As for the formation energy: -0.308 kcal/mol of atoms. For the density, the calculation gives 9.20 g/cm3. Its symmetry is P-1 (2). As for the distance to the lowest polymorph of the same formula: 0.000 eV per atom. The density of states at the Fermi level comes out at 3.18 states/eV/f.u. The value obtained for the magnetization is 0.00 μB per atom.